[1]
First-principles (SCAN) data for SrAl2Pb at its PBEsol-relaxed geometry, as listed in Alexandria.

Results
For the formation energy, the calculation gives -0.33 eV per formula unit.

```
data_SrAl2Pb
_chemical_formula_sum 'Sr2 Al4 Pb2'
_space_group_name_H-M_alt 'C 1 2/m 1'
_space_group_IT_number 12
_space_group_name_Hall '-C 2y'
_cell_length_a 9.699
_cell_length_b 4.287
_cell_length_c 5.575
_cell_angle_alpha 90.00
_cell_angle_beta 110.54
_cell_angle_gamma 90.00
loop_
_atom_site_label
_atom_site_fract_x
_atom_site_fract_y
_atom_site_fract_z
Sr1 0.000 0.000 0.000
Al1 0.235 0.000 0.651
Pb1 0.000 0.500 0.500
```

=====

[2]
First-principles (SCAN) data for SrAl3Pb at its PBEsol-relaxed geometry, as listed in Alexandria.

Results
For the formation energy, the calculation gives 6.79 eV per formula unit.

```
data_SrAl3Pb
_chemical_formula_sum 'Sr1 Al3 Pb1'
_space_group_name_H-M_alt 'P m -3 m'
_space_group_IT_number 221
_space_group_name_Hall '-P 4 2 3'
_cell_length_a 5.609
_cell_length_b 5.609
_cell_length_c 5.609
_cell_angle_alpha 90.00
_cell_angle_beta 90.00
_cell_angle_gamma 90.00
loop_
_atom_site_label
_atom_site_fract_x
_atom_site_fract_y
_atom_site_fract_z
Sr1 0.000 0.000 0.000
Al1 0.000 0.000 0.500
Pb1 0.500 0.500 0.500
```

=====

[3]
First-principles (SCAN) data for SrAlPb2 at its PBEsol-relaxed geometry, as listed in Alexandria.

Results
For the formation energy, the calculation gives -1.15 eV per formula unit.

```
data_SrAlPb2
_chemical_formula_sum 'Sr1 Al1 Pb2'
_space_group_name_H-M_alt 'P 4/m m m'
_space_group_IT_number 123
_space_group_name_Hall '-P 4 2'
_cell_length_a 4.859
_cell_length_b 4.859
_cell_length_c 4.629
_cell_angle_alpha 90.00
_cell_angle_beta 90.00
_cell_angle_gamma 90.00
loop_
_atom_site_label
_atom_site_fract_x
_atom_site_fract_y
_atom_site_fract_z
Sr1 0.000 0.000 0.000
Al1 0.500 0.500 0.000
Pb1 0.000 0.500 0.500
```

=====

[4]
First-principles (SCAN) data for SrAl2Pb at its PBEsol-relaxed geometry, as listed in Alexandria.

Results
For the formation energy, the calculation gives -0.18 eV per formula unit.

```
data_SrAl2Pb
_chemical_formula_sum 'Sr2 Al4 Pb2'
_space_group_name_H-M_alt 'I -4 m 2'
_space_group_IT_number 119
_space_group_name_Hall 'I -4 -2'
_cell_length_a 4.549
_cell_length_b 4.549
_cell_length_c 9.653
_cell_angle_alpha 90.00
_cell_angle_beta 90.00
_cell_angle_gamma 90.00
loop_
_atom_site_label
_atom_site_fract_x
_atom_site_fract_y
_atom_site_fract_z
Sr1 0.000 0.000 0.000
Al1 0.000 0.000 0.500
Al2 0.000 0.500 0.250
Pb1 0.000 0.500 0.750
```

=====

[5]
First-principles (SCAN) data for AlTc2Pb at its PBEsol-relaxed geometry, as listed in Alexandria.

Results
The value obtained for the excess energy over the best structure of this formula in the dataset is 0.0682 eV/atom. For the formation energy, the calculation gives 1.24 eV per formula unit.

```
data_AlTc2Pb
_chemical_formula_sum 'Al2 Tc4 Pb2'
_space_group_name_H-M_alt 'I m m 2'
_space_group_IT_number 44
_space_group_name_Hall 'I 2 -2'
_cell_length_a 3.190
_cell_length_b 4.383
_cell_length_c 9.270
_cell_angle_alpha 90.00
_cell_angle_beta 90.00
_cell_angle_gamma 90.00
loop_
_atom_site_label
_atom_site_fract_x
_atom_site_fract_y
_atom_site_fract_z
Al1 0.000 0.000 0.000
Tc1 0.000 0.000 0.534
Tc2 0.000 0.500 0.273
Pb1 0.000 0.500 0.772
```

=====

[6]
First-principles (SCAN) data for AlTc2Pb at its PBEsol-relaxed geometry, as listed in Alexandria.

Results
The value obtained for the excess energy over the best structure of this formula in the dataset is 0.0000 eV/atom. For the formation energy, the calculation gives 0.97 eV per formula unit.

```
data_AlTc2Pb
_chemical_formula_sum 'Al3 Tc6 Pb3'
_space_group_name_H-M_alt 'R 3 m'
_space_group_IT_number 160
_space_group_name_Hall 'R 3 -2"'
_cell_length_a 2.9744
_cell_length_b 2.9744
_cell_length_c 26.8457
_cell_angle_alpha 90.00
_cell_angle_beta 90.00
_cell_angle_gamma 120.00
loop_
_atom_site_label
_atom_site_fract_x
_atom_site_fract_y
_atom_site_fract_z
Al1 0.0000 0.0000 0.0000
Tc1 0.0000 0.0000 0.2604
Tc2 0.0000 0.0000 0.5215
Pb1 0.0000 0.0000 0.7658
```

=====

[7]
First-principles (SCAN) data for Al2TcPb at its PBEsol-relaxed geometry, as listed in Alexandria.

Results
For the formation energy, the calculation gives 0.83 eV per formula unit.

```
data_Al2TcPb
_chemical_formula_sum 'Al4 Tc2 Pb2'
_space_group_name_H-M_alt 'C 1 2/m 1'
_space_group_IT_number 12
_space_group_name_Hall '-C 2y'
_cell_length_a 9.003
_cell_length_b 3.329
_cell_length_c 4.828
_cell_angle_alpha 90.00
_cell_angle_beta 103.17
_cell_angle_gamma 90.00
loop_
_atom_site_label
_atom_site_fract_x
_atom_site_fract_y
_atom_site_fract_z
Al1 0.231 0.000 0.196
Tc1 0.000 0.500 0.000
Pb1 0.000 0.000 0.500
```

=====

[8]
First-principles (SCAN) data for Al2Te2Pb at its PBEsol-relaxed geometry, as listed in Alexandria.

Results
For the raw formation energy, the calculation gives 0.066 eV per atom.

```
data_Al2Te2Pb
_chemical_formula_sum 'Al4 Te4 Pb2'
_space_group_name_H-M_alt 'I 4/m m m'
_space_group_IT_number 139
_space_group_name_Hall '-I 4 2'
_cell_length_a 3.909
_cell_length_b 3.909
_cell_length_c 16.766
_cell_angle_alpha 90.00
_cell_angle_beta 90.00
_cell_angle_gamma 90.00
loop_
_atom_site_label
_atom_site_fract_x
_atom_site_fract_y
_atom_site_fract_z
Al1 0.000 0.500 0.250
Te1 0.000 0.000 0.112
Pb1 0.000 0.000 0.500
```

=====

Number 1: D(E_F) 0.5808 states/eV per atom. Number 2: D(E_F) 0.7118 states/eV per atom. Number 3: D(E_F) 0.4862 states/eV per atom. Number 4: D(E_F) 0.4792 states/eV per atom. Number 5: D(E_F) 0.5436 states/eV per atom. Number 6: D(E_F) 0.5069 states/eV per atom. Number 7: D(E_F) 0.8146 states/eV per atom. Number 8: D(E_F) 0.4450 states/eV per atom.